VASP calculation (PBE-GGA) on a relaxed structure of MnNiSe2.

Cell: 4.576 4.576 4.490 Å, 112.88 112.88 101.17°
Positions (direct):
Mn 0.000 0.000 0.000
Ni 0.500 0.500 0.000
Se 0.000 0.500 0.500
Se 0.500 0.000 0.500

Results
- ΔE to the lowest computed polymorph: 399 meV per atom
- Raw formation energy: 7 kJ per mole of atoms
- E_tot: -5.41 eV/atom
- ρ: 6.18 g cm⁻³